[1]
Density functional theory data (PBE) for a relaxed structure of CdRePb2.

Values from the calculation:
Crystal system = tetragonal
Electronic total energy = -32.63 eV/cell
N(E_F) = 1.89 states/eV per atom
Magnetization = 0.00 Bohr magnetons per cell

Structure (POSCAR):
```
CdRePb2
1.0
-3.893 2.127 -0.368
-1.639 -3.407 -2.351
-5.900 -4.925 7.036
Cd Re Pb
2 2 4
Cartesian
-2.766 -0.640 -1.359
-5.153 -4.486 1.663
-6.280 -1.719 2.655
0.000 0.000 0.000
-6.476 -4.125 4.291
-4.168 -0.298 1.230
-9.289 -4.861 2.866
-2.931 -3.124 0.249
```

***

[2]
Density functional theory data (PBE) for a relaxed structure of CdRePb2.

Values from the calculation:
Crystal system = tetragonal
Electronic total energy = -17.11 eV/cell
N(E_F) = 0.66 states/eV per atom
Magnetization = 1.38 Bohr magnetons per cell

Structure (POSCAR):
```
CdRePb2
1.0
-1.319 0.852 5.167
3.143 -3.311 2.885
1.360 3.557 -3.830
Re Cd Pb
1 1 2
Cartesian
2.707 -0.492 1.541
0.476 1.590 2.682
0.000 0.000 0.000
0.912 -1.229 4.026
```

***

[3]
Density functional theory data (PBE) for a relaxed structure of Cd4RePb.

Values from the calculation:
Crystal system = cubic
Electronic total energy = -15.52 eV/cell
N(E_F) = 1.00 states/eV per atom
Magnetization = 1.92 Bohr magnetons per cell

Structure (POSCAR):
```
Cd4RePb
1.0
0.000 4.028 4.028
4.028 0.000 4.028
4.028 4.028 0.000
Cd Re Pb
4 1 1
Cartesian
3.013 5.042 5.042
3.013 3.013 3.013
5.042 5.042 3.013
5.042 3.013 5.042
0.000 0.000 0.000
6.042 6.042 6.042
```

***

[4]
Density functional theory data (PBE) for a relaxed structure of CdRePb.

Values from the calculation:
Crystal system = tetragonal
Electronic total energy = -14.29 eV/cell
N(E_F) = 1.07 states/eV per atom
Energy above the lowest structure with this stoichiometry = 107 meV per atom
Magnetization = 0.01 Bohr magnetons per cell

Structure (POSCAR):
```
CdRePb
1.0
5.657 0.012 0.000
3.510 4.436 0.000
-4.583 -2.224 2.459
Re Pb Cd
1 1 1
Cartesian
6.127 2.973 0.000
2.911 1.413 0.000
0.128 0.062 0.000
```

***

[5]
Density functional theory data (PBE) for a relaxed structure of CdRePb.

Values from the calculation:
Crystal system = trigonal
Electronic total energy = -14.61 eV/cell
N(E_F) = 1.00 states/eV per atom
Energy above the lowest structure with this stoichiometry = 0 meV per atom
Magnetization = 0.00 Bohr magnetons per cell

Structure (POSCAR):
```
CdRePb
1.0
3.009 0.000 0.000
-1.504 2.606 0.000
0.000 0.000 8.579
Pb Cd Re
1 1 1
Cartesian
1.504 0.869 3.248
0.000 0.000 8.158
0.000 1.737 5.752
```

***

[6]
Density functional theory data (PBE) for a relaxed structure of CdRePb2.

Values from the calculation:
Crystal system = orthorhombic
Electronic total energy = -16.90 eV/cell
N(E_F) = 0.69 states/eV per atom
Magnetization = 0.66 Bohr magnetons per cell

Structure (POSCAR):
```
CdRePb2
1.0
3.453 0.000 0.000
0.000 5.511 0.000
0.000 0.000 4.816
Pb Re Cd
2 1 1
Cartesian
1.726 2.756 0.000
0.000 0.000 0.000
1.726 0.000 2.408
0.000 2.756 2.408
```

***

[7]
Density functional theory data (PBE) for a relaxed structure of CdRePb2.

Values from the calculation:
Crystal system = cubic
Electronic total energy = -16.64 eV/cell
N(E_F) = 0.89 states/eV per atom
Magnetization = 0.43 Bohr magnetons per cell

Structure (POSCAR):
```
CdRePb2
1.0
5.089 0.000 0.000
2.545 4.408 0.000
2.545 1.469 4.156
Pb Re Cd
2 1 1
Cartesian
2.545 1.469 1.039
0.000 0.000 0.000
7.634 4.408 3.117
5.089 2.938 2.078
```

***

[8]
Density functional theory data (PBE) for a relaxed structure of CdRePb2.

Values from the calculation:
Crystal system = tetragonal
Electronic total energy = -18.05 eV/cell
N(E_F) = 0.96 states/eV per atom
Magnetization = 1.31 Bohr magnetons per cell

Structure (POSCAR):
```
CdRePb2
1.0
-2.602 -1.105 -1.396
-0.677 -1.671 2.586
-5.117 7.563 3.548
Re Pb Cd
1 2 1
Cartesian
-2.644 3.908 1.833
-3.217 0.943 1.689
-4.951 7.319 3.434
-5.260 3.962 3.106
```

***

[9]
Density functional theory data (PBE) for a relaxed structure of CdRePb.

Values from the calculation:
Crystal system = cubic
Electronic total energy = -13.89 eV/cell
N(E_F) = 1.13 states/eV per atom
Energy above the lowest structure with this stoichiometry = 239 meV per atom
Magnetization = 1.11 Bohr magnetons per cell

Structure (POSCAR):
```
CdRePb
1.0
-0.106 4.290 -1.820
-0.942 0.589 -4.527
-4.061 1.876 -1.311
Cd Pb Re
1 1 1
Cartesian
0.000 0.000 0.000
-2.555 3.377 -3.829
-3.832 5.066 -5.743
```

***

[10]
Density functional theory data (PBE) for a relaxed structure of Cd2ReRhPb.

Values from the calculation:
Crystal system = tetragonal
Electronic total energy = -21.01 eV/cell
N(E_F) = 0.67 states/eV per atom
Magnetization = 1.49 Bohr magnetons per cell

Structure (POSCAR):
```
Cd2ReRhPb
1.0
-2.640 3.924 -2.023
-2.045 0.791 4.203
3.816 3.213 1.253
Re Rh Cd Pb
1 1 2 1
Cartesian
-1.023 0.395 2.102
0.000 0.000 0.000
1.908 1.607 0.626
-1.320 1.962 -1.011
-0.434 3.964 1.717
```

***

[11]
Density functional theory data (PBE) for a relaxed structure of CdReSbPb2.

Values from the calculation:
Crystal system = tetragonal
Electronic total energy = -22.23 eV/cell
N(E_F) = 1.14 states/eV per atom
Magnetization = 0.00 Bohr magnetons per cell

Structure (POSCAR):
```
CdReSbPb2
1.0
5.419 0.000 0.000
0.000 5.160 0.000
0.000 0.000 5.419
Sb Pb Re Cd
1 2 1 1
Cartesian
0.000 2.580 0.000
2.710 0.000 0.000
0.000 0.000 2.710
0.000 0.000 0.000
2.710 2.580 2.710
```

***

[12]
Density functional theory data (PBE) for a relaxed structure of CdRePbW2.

Values from the calculation:
Crystal system = tetragonal
Electronic total energy = -27.67 eV/cell
N(E_F) = 1.30 states/eV per atom
Magnetization = 0.00 Bohr magnetons per cell

Structure (POSCAR):
```
CdRePbW2
1.0
5.012 0.000 0.000
0.000 4.960 0.000
0.000 0.000 5.012
Cd W Re Pb
1 2 1 1
Cartesian
2.506 2.480 2.506
2.506 0.000 0.000
0.000 0.000 2.506
0.000 2.480 0.000
0.000 0.000 0.000
```